Record 1
# K2ScNi, relaxed, DFT PBE
data_K2ScNi
_chemical_formula_sum 'K4 Sc2 Ni2'
_cell_length_a 4.376
_cell_length_b 4.380
_cell_length_c 18.662
_cell_angle_alpha 96.60
_cell_angle_beta 90.17
_cell_angle_gamma 90.02
_space_group_name_H-M_alt 'P 1'
_space_group_IT_number 1
loop_
_space_group_symop_operation_xyz
'x,y,z'
loop_
_atom_site_label
_atom_site_type_symbol
_atom_site_fract_x
_atom_site_fract_y
_atom_site_fract_z
K1 K 0.000 0.000 0.000
K2 K 0.001 0.199 0.397
K3 K 0.500 0.599 0.196
K4 K 0.503 0.394 0.796
Sc1 Sc 0.005 0.787 0.586
Sc2 Sc 0.505 0.287 0.584
Ni1 Ni 0.005 0.321 0.658
Ni2 Ni 0.508 0.823 0.658
# Total moment in μB per formula unit: 0.00

---

Record 2
# DyHoSiAu, relaxed, DFT PBE
data_DyHoSiAu
_chemical_formula_sum 'Dy4 Ho4 Si4 Au4'
_cell_length_a 7.120
_cell_length_b 7.120
_cell_length_c 7.120
_cell_angle_alpha 90.00
_cell_angle_beta 90.00
_cell_angle_gamma 90.00
_space_group_name_H-M_alt 'F -4 3 m'
_space_group_IT_number 216
_space_group_name_Hall 'F -4 2 3'
loop_
_atom_site_label
_atom_site_type_symbol
_atom_site_fract_x
_atom_site_fract_y
_atom_site_fract_z
Dy1 Dy 0.000 0.000 0.000
Ho1 Ho 0.000 0.000 0.500
Si1 Si 0.250 0.250 0.250
Au1 Au 0.250 0.250 0.750
# Total moment in μB per formula unit: 0.24
# Formation energy from raw total energies in eV per atom: -0.661

---

Record 3
# SrCo2Cl, relaxed, DFT PBE
data_SrCo2Cl
_chemical_formula_sum 'Sr2 Co4 Cl2'
_cell_length_a 3.659
_cell_length_b 5.805
_cell_length_c 7.977
_cell_angle_alpha 90.00
_cell_angle_beta 90.00
_cell_angle_gamma 90.00
_space_group_name_H-M_alt 'I m m 2'
_space_group_IT_number 44
loop_
_space_group_symop_operation_xyz
'x,y,z'
'-x,-y,z'
'-x,y,z'
'x,-y,z'
'x+1/2,y+1/2,z+1/2'
'-x+1/2,-y+1/2,z+1/2'
'-x+1/2,y+1/2,z+1/2'
'x+1/2,-y+1/2,z+1/2'
loop_
_atom_site_label
_atom_site_type_symbol
_atom_site_fract_x
_atom_site_fract_y
_atom_site_fract_z
Sr1 Sr 0.000 0.000 0.000
Co1 Co 0.000 0.000 0.493
Co2 Co 0.000 0.500 0.832
Cl1 Cl 0.000 0.500 0.197
# Total moment in μB per formula unit: 3.01
# Formation energy from raw total energies in eV per atom: 0.064

---

Record 4
# PrMgPb, relaxed, DFT PBE
data_PrMgPb
_chemical_formula_sum 'Pr4 Mg4 Pb4'
_cell_length_a 4.590
_cell_length_b 4.590
_cell_length_c 16.458
_cell_angle_alpha 90.00
_cell_angle_beta 90.00
_cell_angle_gamma 90.00
_space_group_name_H-M_alt 'I 4/m m m'
_space_group_IT_number 139
_space_group_name_Hall '-I 4 2'
loop_
_atom_site_label
_atom_site_type_symbol
_atom_site_fract_x
_atom_site_fract_y
_atom_site_fract_z
Pr1 Pr 0.000 0.000 0.163
Mg1 Mg 0.000 0.500 0.000
Pb1 Pb 0.000 0.000 0.365
# Total moment in μB per formula unit: 0.00

---

Record 5
# Tb2ErIr2, relaxed, DFT PBE
data_Tb2ErIr2
_chemical_formula_sum 'Tb8 Er4 Ir8'
_cell_length_a 6.001
_cell_length_b 14.425
_cell_length_c 5.519
_cell_angle_alpha 90.00
_cell_angle_beta 90.00
_cell_angle_gamma 90.00
_space_group_name_H-M_alt 'C m c m'
_space_group_IT_number 63
_space_group_name_Hall '-C 2c 2'
loop_
_atom_site_label
_atom_site_type_symbol
_atom_site_fract_x
_atom_site_fract_y
_atom_site_fract_z
Tb1 Tb 0.000 0.080 0.250
Tb2 Tb 0.000 0.282 0.750
Er1 Er 0.000 0.500 0.000
Ir1 Ir 0.239 0.123 0.750
# Total moment in μB per formula unit: 0.00

---

Record 6
# Be2SbPt, relaxed, DFT PBE
data_Be2SbPt
_chemical_formula_sum 'Be4 Sb2 Pt2'
_cell_length_a 7.740
_cell_length_b 3.907
_cell_length_c 4.205
_cell_angle_alpha 90.00
_cell_angle_beta 90.14
_cell_angle_gamma 90.00
_space_group_name_H-M_alt 'C 1 2/m 1'
_space_group_IT_number 12
loop_
_space_group_symop_operation_xyz
'x,y,z'
'-x,-y,-z'
'-x,y,-z'
'x,-y,z'
'x+1/2,y+1/2,z'
'-x+1/2,-y+1/2,-z'
'-x+1/2,y+1/2,-z'
'x+1/2,-y+1/2,z'
loop_
_atom_site_label
_atom_site_type_symbol
_atom_site_fract_x
_atom_site_fract_y
_atom_site_fract_z
Be1 Be 0.191 0.000 0.001
Sb1 Sb 0.000 0.000 0.500
Pt1 Pt 0.000 0.500 0.000
# Total moment in μB per formula unit: 0.00
# Formation energy from raw total energies in eV per atom: -0.108

---

Record 7
# K3CaF6, relaxed, DFT PBE
data_K3CaF6
_chemical_formula_sum 'K6 Ca2 F12'
_cell_length_a 6.561
_cell_length_b 6.762
_cell_length_c 10.877
_cell_angle_alpha 90.00
_cell_angle_beta 126.18
_cell_angle_gamma 90.00
_space_group_name_H-M_alt 'P 1 21/c 1'
_space_group_IT_number 14
loop_
_space_group_symop_operation_xyz
'x,y,z'
'-x,-y,-z'
'-x,y+1/2,-z+1/2'
'x,-y+1/2,z+1/2'
loop_
_atom_site_label
_atom_site_type_symbol
_atom_site_fract_x
_atom_site_fract_y
_atom_site_fract_z
K1 K 0.000 0.000 0.000
K2 K 0.269 0.055 0.750
Ca1 Ca 0.500 0.000 0.500
F1 F 0.133 0.078 0.277
F2 F 0.306 0.697 0.072
F3 F 0.396 0.234 0.083
# Total moment in μB per formula unit: 1.08
# Formation energy from raw total energies in eV per atom: -2.806

---

Record 8
# SeI2Cl, relaxed, DFT PBE
data_SeI2Cl
_chemical_formula_sum 'Se1 I2 Cl1'
_cell_length_a 5.210
_cell_length_b 6.766
_cell_length_c 7.054
_cell_angle_alpha 116.84
_cell_angle_beta 96.38
_cell_angle_gamma 99.07
_space_group_name_H-M_alt 'P 1'
_space_group_IT_number 1
loop_
_space_group_symop_operation_xyz
'x,y,z'
loop_
_atom_site_label
_atom_site_type_symbol
_atom_site_fract_x
_atom_site_fract_y
_atom_site_fract_z
Se1 Se 0.000 0.000 0.000
I1 I 0.185 0.720 0.103
I2 I 0.409 0.377 0.253
Cl1 Cl 0.798 0.757 0.634
# Total moment in μB per formula unit: 0.00
# Formation energy from raw total energies in eV per atom: -0.012

---

Record 9
# PrSm7Dy2, relaxed, DFT PBE
data_PrSm7Dy2
_chemical_formula_sum 'Pr1 Sm7 Dy2'
_cell_length_a 6.265
_cell_length_b 6.268
_cell_length_c 9.576
_cell_angle_alpha 70.90
_cell_angle_beta 70.93
_cell_angle_gamma 80.44
_space_group_name_H-M_alt 'P -1'
_space_group_IT_number 2
loop_
_space_group_symop_operation_xyz
'x,y,z'
'-x,-y,-z'
loop_
_atom_site_label
_atom_site_type_symbol
_atom_site_fract_x
_atom_site_fract_y
_atom_site_fract_z
Pr1 Pr 0.000 0.000 0.000
Sm1 Sm 0.000 0.398 0.201
Sm2 Sm 0.002 0.200 0.599
Sm3 Sm 0.500 0.301 0.899
Sm4 Sm 0.500 0.500 0.500
Dy1 Dy 0.499 0.099 0.301
# Total moment in μB per formula unit: 0.00

---

Record 10
# KGaPb, relaxed, DFT PBE
data_KGaPb
_chemical_formula_sum 'K2 Ga2 Pb2'
_cell_length_a 4.842
_cell_length_b 4.842
_cell_length_c 8.387
_cell_angle_alpha 90.00
_cell_angle_beta 90.00
_cell_angle_gamma 90.00
_space_group_name_H-M_alt 'P 4/n m m'
_space_group_IT_number 129
loop_
_space_group_symop_operation_xyz
'x,y,z'
'-x,-y,-z'
'-y+1/2,x,z'
'y+1/2,-x,-z'
'-x+1/2,-y+1/2,z'
'x+1/2,y+1/2,-z'
'y,-x+1/2,z'
'-y,x+1/2,-z'
'x+1/2,-y,-z'
'-x+1/2,y,z'
'-y,-x,-z'
'y,x,z'
'-x,y+1/2,-z'
'x,-y+1/2,z'
'y+1/2,x+1/2,-z'
'-y+1/2,-x+1/2,z'
loop_
_atom_site_label
_atom_site_type_symbol
_atom_site_fract_x
_atom_site_fract_y
_atom_site_fract_z
K1 K 0.250 0.250 0.171
Ga1 Ga 0.250 0.750 0.500
Pb1 Pb 0.250 0.250 0.706
# Total moment in μB per formula unit: 0.00

---

Record 11
# LiSi2Cl, relaxed, DFT PBE
data_LiSi2Cl
_chemical_formula_sum 'Li2 Si4 Cl2'
_cell_length_a 6.677
_cell_length_b 3.856
_cell_length_c 7.183
_cell_angle_alpha 90.00
_cell_angle_beta 107.81
_cell_angle_gamma 90.00
_space_group_name_H-M_alt 'C 1 m 1'
_space_group_IT_number 8
loop_
_space_group_symop_operation_xyz
'x,y,z'
'x,-y,z'
'x+1/2,y+1/2,z'
'x+1/2,-y+1/2,z'
loop_
_atom_site_label
_atom_site_type_symbol
_atom_site_fract_x
_atom_site_fract_y
_atom_site_fract_z
Li1 Li 0.000 0.000 0.000
Si1 Si 0.364 0.500 0.603
Si2 Si 0.499 0.000 0.507
Cl1 Cl 0.375 0.000 0.126
# Total moment in μB per formula unit: 0.00
# Formation energy from raw total energies in eV per atom: -0.551

---

Record 12
# LiZn3F6, relaxed, DFT PBE
data_LiZn3F6
_chemical_formula_sum 'Li3 Zn9 F18'
_cell_length_a 5.3882
_cell_length_b 5.3882
_cell_length_c 14.4696
_cell_angle_alpha 90.00
_cell_angle_beta 90.00
_cell_angle_gamma 120.00
_space_group_name_H-M_alt 'R 3'
_space_group_IT_number 146
_space_group_name_Hall 'R 3'
loop_
_atom_site_label
_atom_site_type_symbol
_atom_site_fract_x
_atom_site_fract_y
_atom_site_fract_z
Li1 Li 0.0000 0.0000 0.0000
Zn1 Zn 0.0000 0.0000 0.2909
Zn2 Zn 0.0000 0.0000 0.5004
Zn3 Zn 0.0000 0.0000 0.7867
F1 F 0.0039 0.6996 0.8935
F2 F 0.0282 0.3567 0.0589
# Total moment in μB per formula unit: 0.00
# Formation energy from raw total energies in eV per atom: -2.171

---

E_tot
In order: -3.46; -5.13; -4.37; -3.84; -6.75; -4.51; -4.46; -2.12; -4.69; -2.76; -4.20; -3.87
Unit: eV per atom